Record 1
# Sr2ErH12Rh3

Crystalline Sr2ErH12Rh3 at its relaxed geometry (PBE-GGA, Alexandria).

It has space group R-3m (No. 166, hexagonal axes), with a = 6.7850 Å, b = 6.7850 Å, c = 14.0465 Å, α = 90.00°, β = 90.00° and γ = 120.00°. Symmetry generates all atoms from Sr at (0.0000, 0.0000, 0.1188), Er at (0.0000, 0.0000, 0.5000), H at (0.0183, 0.5091, 0.8810), H at (0.0762, 0.5381, 0.3238) and Rh at (0.0000, 0.5000, 0.0000).

The uncorrected energy comes out at -4.344 eV/atom. As for the total moment: 0.0 μB/f.u.

Record 2
# ErTlH8Rh2

Crystalline ErTlH8Rh2 at its relaxed geometry (PBE-GGA, Alexandria).

It has space group R-3m (No. 166, hexagonal axes), with a = 4.0577 Å, b = 4.0577 Å, c = 26.2530 Å, α = 90.00°, β = 90.00° and γ = 120.00°. Symmetry generates all atoms from Er at (0.0000, 0.0000, 0.0000), Tl at (0.0000, 0.0000, 0.5000), H at (0.0000, 0.0000, 0.1896), H at (0.0438, 0.5219, 0.0433) and Rh at (0.0000, 0.0000, 0.2552).

The uncorrected energy comes out at -4.022 eV/atom. As for the total moment: 0.0 μB/f.u.

Record 3
# Er2H2Ru

Crystalline Er2H2Ru at its relaxed geometry (PBE-GGA, Alexandria).

It has space group P4/mmm (No. 123), with a = 3.3566 Å, b = 3.3566 Å, c = 6.5647 Å, α = 90.00°, β = 90.00° and γ = 90.00°. Symmetry generates all atoms from Er at (0.0000, 0.0000, 0.2434), H at (0.0000, 0.5000, 0.0000) and Ru at (0.5000, 0.5000, 0.5000).

The uncorrected energy comes out at -5.446 eV/atom. As for the total moment: 0.0 μB/f.u.

Record 4
# ErH6Ru3

Crystalline ErH6Ru3 at its relaxed geometry (PBE-GGA, Alexandria).

It has space group P1 (No. 1), with a = 4.6663 Å, b = 4.6666 Å, c = 5.3140 Å, α = 90.08°, β = 115.99° and γ = 119.94°. Symmetry generates all atoms from Er at (0.0000, 0.0000, 0.0000), H at (0.0371, 0.2207, 0.6125), H at (0.0625, 0.5247, 0.0808), H at (0.3916, 0.8173, 0.6128), H at (0.5434, 0.0188, 0.0812), H at (0.5566, 0.5383, 0.0810), H at (0.7975, 0.5756, 0.6137), Ru at (0.4069, 0.2044, 0.6090), Ru at (0.5699, 0.7855, 0.3545) and Ru at (0.8873, 0.4438, 0.3303).

The uncorrected energy comes out at -5.390 eV/atom. As for the total moment: 0.0 μB/f.u.

Record 5
# ErH6Ru2

Crystalline ErH6Ru2 at its relaxed geometry (PBE-GGA, Alexandria).

It has space group C2/m (No. 12), with a = 5.7293 Å, b = 6.0521 Å, c = 4.9425 Å, α = 90.00°, β = 112.74° and γ = 90.00°. Symmetry generates all atoms from Er at (0.0000, 0.0000, 0.0000), H at (0.0843, 0.5000, 0.7030), H at (0.1815, 0.3046, 0.2735) and Ru at (0.0000, 0.2517, 0.5000).

As for the total moment: 0.0 μB/f.u. Its distance to the lowest polymorph of the same formula is 0.0 kJ/mol of atoms.

Record 6
# Er8HRu5

Crystalline Er8HRu5 at its relaxed geometry (PBE-GGA, Alexandria).

It has space group I-4 (No. 82), with a = 8.2102 Å, b = 8.2102 Å, c = 8.7235 Å, α = 90.00°, β = 90.00° and γ = 90.00°. Symmetry generates all atoms from Er at (0.0547, 0.2975, 0.0328), Er at (0.0725, 0.1880, 0.6581), H at (0.0000, 0.0000, 0.0000), Ru at (0.0000, 0.5000, 0.7500) and Ru at (0.1196, 0.2681, 0.3436).

The uncorrected energy comes out at -6.458 eV/atom. As for the total moment: 0.0 μB/f.u.

What did the sixth record say?
# Er8HRu5

Crystalline Er8HRu5 at its relaxed geometry (PBE-GGA, Alexandria).

It has space group I-4 (No. 82), with a = 8.2102 Å, b = 8.2102 Å, c = 8.7235 Å, α = 90.00°, β = 90.00° and γ = 90.00°. Symmetry generates all atoms from Er at (0.0547, 0.2975, 0.0328), Er at (0.0725, 0.1880, 0.6581), H at (0.0000, 0.0000, 0.0000), Ru at (0.0000, 0.5000, 0.7500) and Ru at (0.1196, 0.2681, 0.3436).

The uncorrected energy comes out at -6.458 eV/atom. As for the total moment: 0.0 μB/f.u.